i | Here is crystalline NaPrTm at its relaxed geometry from Alexandria via LeMat-Bulk. Energies are from PBE.

Cell lengths 5.6506, 5.6506, 7.2232 Å; angles 90.00, 90.00, 120.00 degrees
With the nearest neighbours (Å) after each atom.
Space group P-3m1 (No. 164)
Symmetry-distinct sites (fractional):
Na1 0.3333 0.6667 0.9995 x2  3 Na 3.26, 2 Tm 3.61
Pr1 0.0000 0.0000 0.2669 x2  1 Pr 3.37, 6 Tm 3.67
Tm1 0.3333 0.6667 0.4998 x2  3 Tm 3.26, 2 Na 3.61

---

ii | Here is crystalline NaPrTm at its relaxed geometry from Alexandria via LeMat-Bulk. Energies are from PBE.

Cell lengths 3.5762, 3.5762, 9.2479 Å; angles 90.00, 90.00, 120.00 degrees
With the nearest neighbours (Å) after each atom.
Space group P3m1 (No. 156)
Symmetry-distinct sites (fractional):
Na1 0.0000 0.0000 0.0000 x1  6 Na 3.58, 3 Tm 3.78, 3 Pr 3.89
Pr1 0.3333 0.6667 0.6438 x1  3 Tm 3.47, 6 Pr 3.58, 3 Na 3.89
Tm1 0.6667 0.3333 0.3419 x1  3 Pr 3.47, 6 Tm 3.58, 3 Na 3.78

---

Tell me which of them is the most stable. Sure, it is ii.

---

i | Here is crystalline NaPrTm at its relaxed geometry from Alexandria via LeMat-Bulk. Energies are from PBE.

Cell lengths 3.5538, 3.5538, 16.2773 Å; angles 90.00, 90.00, 90.00 degrees
With the nearest neighbours (Å) after each atom.
Space group I4mm (No. 107)
Symmetry-distinct sites (fractional):
Na1 0.0000 0.0000 0.0000 x2  4 Na 3.55, 4 Tm 3.75, 4 Pr 3.85
Pr1 0.0000 0.0000 0.6793 x2  4 Tm 3.50, 4 Pr 3.55, 4 Na 3.85
Tm1 0.0000 0.0000 0.3292 x2  4 Pr 3.50, 4 Tm 3.55, 4 Na 3.75

---

ii | Here is crystalline NaPrTm at its relaxed geometry from Alexandria via LeMat-Bulk. Energies are from PBE.

Cell lengths 4.1486, 4.1486, 12.0367 Å; angles 90.00, 90.00, 90.00 degrees
With the nearest neighbours (Å) after each atom.
Space group P4/nmm (No. 129, origin choice 2)
Symmetry-distinct sites (fractional):
Na1 0.2500 0.7500 0.0000 x2  4 Na 2.93
Pr1 0.2500 0.2500 0.2627 x2  5 Tm 3.57-3.68, 4 Na 3.78
Tm1 0.2500 0.2500 0.5687 x2  4 Tm 3.37, 5 Pr 3.57-3.68

---

Tell me which of them is the most stable. Sure, it is i.

---

i | Here is crystalline NaPr2Tm at its relaxed geometry from Alexandria via LeMat-Bulk. Energies are from PBE.

Cell lengths 3.5537, 3.5537, 10.9929 Å; angles 90.00, 90.00, 90.00 degrees
With the nearest neighbours (Å) after each atom.
Space group P4/mmm (No. 123)
Symmetry-distinct sites (fractional):
Na1 0.0000 0.0000 0.0000 x1  4 Na 3.55, 8 Pr 3.87
Pr1 0.5000 0.5000 0.2679 x2  4 Pr 3.55, 4 Tm 3.58, 4 Na 3.87
Tm1 0.0000 0.0000 0.5000 x1  4 Tm 3.55, 8 Pr 3.58

---

ii | Here is crystalline NaPr2Tm at its relaxed geometry from Alexandria via LeMat-Bulk. Energies are from PBE.

Cell lengths 3.5749, 3.5749, 38.7192 Å; angles 90.00, 90.00, 120.00 degrees
With the nearest neighbours (Å) after each atom.
Space group R-3m (No. 166, hexagonal axes)
Symmetry-distinct sites (fractional):
Na1 0.0000 0.0000 0.0000 x3  6 Na 3.57, 2 Pr 3.58
Pr1 0.0000 0.0000 0.0926 x6  3 Tm 3.53, 6 Pr 3.57, 1 Na 3.58
Tm1 0.0000 0.0000 0.5000 x3  6 Pr 3.53, 6 Tm 3.57

---

iii | Here is crystalline NaPr2Tm at its relaxed geometry from Alexandria via LeMat-Bulk. Energies are from PBE.

Cell lengths 5.9705, 5.9705, 3.7759 Å; angles 90.00, 90.00, 90.00 degrees
With the nearest neighbours (Å) after each atom.
Space group P4/mmm (No. 123)
Symmetry-distinct sites (fractional):
Na1 0.0000 0.0000 0.0000 x1  8 Pr 3.53, 2 Na 3.78
Pr1 0.0000 0.5000 0.5000 x2  4 Na 3.53, 4 Tm 3.53, 2 Pr 3.78
Tm1 0.5000 0.5000 0.0000 x1  8 Pr 3.53, 2 Tm 3.78

---

Tell me which of them is the most stable. Sure, it is i.

---

i | Here is crystalline NaPrY at its relaxed geometry from Alexandria via LeMat-Bulk. Energies are from PBE.

Cell lengths 6.4294, 8.7864, 15.5915 Å; angles 90.00, 90.00, 90.00 degrees
With the nearest neighbours (Å) after each atom.
Space group Fmmm (No. 69)
Symmetry-distinct sites (fractional):
Na1 0.0000 0.1623 0.0000 x8  1 Na 2.85
Pr1 0.0000 0.0000 0.3942 x8  1 Pr 3.30, 2 Na 3.40, 4 Y 3.53
Y1 0.2500 0.2500 0.2500 x8  2 Y 3.21, 4 Pr 3.53

---

ii | Here is crystalline NaPrY at its relaxed geometry from Alexandria via LeMat-Bulk. Energies are from PBE.

Cell lengths 3.6201, 3.6201, 9.2779 Å; angles 90.00, 90.00, 120.00 degrees
With the nearest neighbours (Å) after each atom.
Space group P3m1 (No. 156)
Symmetry-distinct sites (fractional):
Na1 0.0000 0.0000 0.0000 x1  6 Na 3.62, 3 Y 3.80, 3 Pr 3.88
Pr1 0.3333 0.6667 0.6473 x1  3 Y 3.52, 6 Pr 3.62, 3 Na 3.88
Y1 0.6667 0.3333 0.3423 x1  3 Pr 3.52, 6 Y 3.62, 3 Na 3.80

---

iii | Here is crystalline NaPrY at its relaxed geometry from Alexandria via LeMat-Bulk. Energies are from PBE.

Cell lengths 5.7322, 5.7322, 7.2295 Å; angles 90.00, 90.00, 120.00 degrees
With the nearest neighbours (Å) after each atom.
Space group P6/mmm (No. 191)
Symmetry-distinct sites (fractional):
Na1 0.3333 0.6667 0.0000 x2  3 Na 3.31, 2 Y 3.61
Pr1 0.0000 0.0000 0.2659 x2  1 Pr 3.39, 6 Y 3.72
Y1 0.3333 0.6667 0.5000 x2  3 Y 3.31, 2 Na 3.61

---

Tell me which of them is the most stable. Sure, it is ii.

---

i | Here is crystalline NaPr2Y at its relaxed geometry from Alexandria via LeMat-Bulk. Energies are from PBE.

Cell lengths 3.6024, 3.6024, 38.9391 Å; angles 90.00, 90.00, 120.00 degrees
With the nearest neighbours (Å) after each atom.
Space group R-3m (No. 166, hexagonal axes)
Symmetry-distinct sites (fractional):
Na1 0.0000 0.0000 0.0000 x3  2 Pr 3.58, 6 Na 3.60
Pr1 0.0000 0.0000 0.0918 x6  1 Na 3.58, 3 Y 3.58, 6 Pr 3.60
Y1 0.0000 0.0000 0.5000 x3  6 Pr 3.58, 6 Y 3.60

---

ii | Here is crystalline NaPr2Y at its relaxed geometry from Alexandria via LeMat-Bulk. Energies are from PBE.

Cell lengths 6.0285, 6.0285, 3.7841 Å; angles 90.00, 90.00, 90.00 degrees
With the nearest neighbours (Å) after each atom.
Space group P4/mmm (No. 123)
Symmetry-distinct sites (fractional):
Na1 0.0000 0.0000 0.0000 x1  8 Pr 3.56, 2 Na 3.78
Pr1 0.0000 0.5000 0.5000 x2  4 Na 3.56, 4 Y 3.56, 2 Pr 3.78
Y1 0.5000 0.5000 0.0000 x1  8 Pr 3.56, 2 Y 3.78

---

Tell me which of them is the most stable. Sure, it is i.

---

i | Here is crystalline NaPr2Y at its relaxed geometry from Alexandria via LeMat-Bulk. Energies are from PBE.

Cell lengths 3.6642, 3.6642, 36.7691 Å; angles 90.00, 90.00, 120.00 degrees
With the nearest neighbours (Å) after each atom.
Space group R3m (No. 160, hexagonal axes)
Symmetry-distinct sites (fractional):
Na1 0.0000 0.0000 0.0000 x3  6 Na 3.66, 6 Pr 3.87-3.88
Pr1 0.0000 0.0000 0.4215 x3  3 Y 3.58, 6 Pr 3.66, 3 Na 3.87
Pr2 0.0000 0.0000 0.5783 x3  3 Y 3.58, 6 Pr 3.66, 3 Na 3.88
Y1 0.0000 0.0000 0.8332 x3  6 Pr 3.58, 6 Y 3.66

---

ii | Here is crystalline NaPr2Y at its relaxed geometry from Alexandria via LeMat-Bulk. Energies are from PBE.

Cell lengths 3.5693, 3.5693, 11.0965 Å; angles 90.00, 90.00, 90.00 degrees
With the nearest neighbours (Å) after each atom.
Space group P4/mmm (No. 123)
Symmetry-distinct sites (fractional):
Na1 0.0000 0.0000 0.0000 x1  4 Na 3.57, 8 Pr 3.88
Pr1 0.5000 0.5000 0.2650 x2  4 Pr 3.57, 4 Y 3.63, 4 Na 3.88
Y1 0.0000 0.0000 0.5000 x1  4 Y 3.57, 8 Pr 3.63

---

Tell me which of them is the most stable. Sure, it is i.

---

i | Here is crystalline NaPrZn2 at its relaxed geometry from Alexandria via LeMat-Bulk. Energies are from PBE.

Cell lengths 5.2565, 5.2565, 3.5585 Å; angles 90.00, 90.00, 90.00 degrees
With the nearest neighbours (Å) after each atom.
Space group P4/mmm (No. 123)
Symmetry-distinct sites (fractional):
Na1 0.0000 0.0000 0.0000 x1  8 Zn 3.17
Pr1 0.5000 0.5000 0.0000 x1  8 Zn 3.17
Zn1 0.0000 0.5000 0.5000 x2  4 Na 3.17, 4 Pr 3.17

---

ii | Here is crystalline NaPrZn2 at its relaxed geometry from Alexandria via LeMat-Bulk. Energies are from PBE.

Cell lengths 7.2141, 7.2141, 7.2141 Å; angles 90.00, 90.00, 90.00 degrees
With the nearest neighbours (Å) after each atom.
Space group Fm-3m (No. 225)
Symmetry-distinct sites (fractional):
Na1 0.0000 0.0000 0.0000 x4  8 Zn 3.12
Pr1 0.0000 0.0000 0.5000 x4  8 Zn 3.12
Zn1 0.2500 0.2500 0.2500 x8  4 Pr 3.12, 4 Na 3.12

---

Tell me which of them is the most stable. Sure, it is ii.

---

i | Here is crystalline NaPt5 at its relaxed geometry from Alexandria via LeMat-Bulk. Energies are from PBE.

Cell lengths 4.0050, 12.1460, 3.8869 Å; angles 90.00, 90.00, 90.00 degrees
With the nearest neighbours (Å) after each atom.
Space group Cmmm (No. 65)
Symmetry-distinct sites (fractional):
Na1 0.0000 0.0000 0.0000 x2  12 Pt 2.79-2.85
Pt1 0.0000 0.1711 0.5000 x4  10 Pt 2.77-2.89, 2 Na 2.85
Pt2 0.0000 0.3372 0.0000 x4  10 Pt 2.77-2.92, 2 Na 2.81
Pt3 0.0000 0.5000 0.5000 x2  8 Pt 2.77-2.89, 4 Na 2.79

---

ii | Here is crystalline NaPt5 at its relaxed geometry from Alexandria via LeMat-Bulk. Energies are from PBE.

Cell lengths 2.7845, 2.7845, 12.7072 Å; angles 90.00, 90.00, 90.00 degrees
With the nearest neighbours (Å) after each atom.
Space group P4/mmm (No. 123)
Symmetry-distinct sites (fractional):
Na1 0.0000 0.0000 0.0000 x1  4 Na 2.78, 8 Pt 3.07
Pt1 0.0000 0.0000 0.3421 x2  12 Pt 2.78-2.81
Pt2 0.5000 0.5000 0.1849 x2  8 Pt 2.78-2.81, 4 Na 3.07
Pt3 0.5000 0.5000 0.5000 x1  12 Pt 2.78-2.81

---

iii | Here is crystalline NaPt5 at its relaxed geometry from Alexandria via LeMat-Bulk. Energies are from PBE.

Cell lengths 4.6953, 2.7281, 14.9614 Å; angles 90.00, 90.00, 90.00 degrees
With the nearest neighbours (Å) after each atom.
Space group Amm2 (No. 38)
Symmetry-distinct sites (fractional):
Na1 0.0000 0.0000 0.0000 x2  2 Na 2.73, 10 Pt 2.84-2.86
Pt1 0.0000 0.0000 0.3325 x2  10 Pt 2.73-2.84, 2 Na 2.85
Pt2 0.0000 0.0000 0.6679 x2  10 Pt 2.73-2.86, 2 Na 2.86
Pt3 0.5000 0.0000 0.1069 x2  10 Pt 2.73-2.87, 2 Na 2.84
Pt4 0.5000 0.0000 0.4395 x2  8 Pt 2.73-2.85, 4 Na 2.86
Pt5 0.5000 0.0000 0.7757 x2  12 Pt 2.73-2.87

---

iv | Here is crystalline NaPt5 at its relaxed geometry from Alexandria via LeMat-Bulk. Energies are from PBE.

Cell lengths 7.4654, 7.4654, 7.4654 Å; angles 90.00, 90.00, 90.00 degrees
With the nearest neighbours (Å) after each atom.
Space group F-43m (No. 216)
Symmetry-distinct sites (fractional):
Na1 0.0000 0.0000 0.0000 x4  16 Pt 3.10-3.23
Pt1 0.1248 0.1248 0.6248 x16  6 Pt 2.63-2.64
Pt2 0.2500 0.2500 0.2500 x4  12 Pt 3.09, 4 Na 3.23

---

Tell me which of them is the most stable. Sure, it is i.